# 1
! Li6Tl3Cd2 PBE relaxed; values from VASP
&SYSTEM
  ibrav = 0, nat = 11, ntyp = 3
/
ATOMIC_SPECIES
Li 6.94 Li.upf
Tl 204.38 Tl.upf
Cd 112.41 Cd.upf
CELL_PARAMETERS angstrom
4.1537 0.0000 0.0000
0.0000 4.1537 0.0000
-2.0769 -2.0769 13.9386
ATOMIC_POSITIONS angstrom
Li 0.0000 2.0769 3.3461
Li 2.0769 0.0000 10.5925
Tl 0.0000 0.0000 5.6640
Cd 2.0769 2.0769 1.4734
Cd 0.0000 0.0000 12.4652
Li 2.0769 2.0769 5.4803
Tl 0.0000 0.0000 0.0000
Li 0.0000 2.0769 10.5925
Li 0.0000 0.0000 8.4582
Li 2.0769 0.0000 3.3461
Tl 2.0769 2.0769 8.2746
! Formation enthalpy at 0 K in meV/atom: -81
! E_tot in Ry/atom: -0.1424
! Density in g/cm3: 6.07
! Symmetry: I4/mmm
! Size of the total moment in μB/f.u.: 0.000

=====

# 2
! LiTlCd2 PBE relaxed; values from VASP
&SYSTEM
  ibrav = 0, nat = 4, ntyp = 3
/
ATOMIC_SPECIES
Tl 204.38 Tl.upf
Cd 112.41 Cd.upf
Li 6.94 Li.upf
CELL_PARAMETERS angstrom
-0.3942 -4.4674 2.8082
-1.0451 -5.1761 -0.3385
5.2373 -1.9092 -0.6533
ATOMIC_POSITIONS angstrom
Tl 1.0614 -2.8720 0.4273
Cd 5.1146 -1.8961 -0.6309
Li 1.9293 -5.7439 0.8946
Cd 2.8289 -8.7263 1.3803
! Formation enthalpy at 0 K in meV/atom: -86
! E_tot in Ry/atom: -0.1186
! Density in g/cm3: 7.90
! Symmetry: Cm
! Size of the total moment in μB/f.u.: 0.000

=====

# 3
! LiTl6Cd PBE relaxed; values from VASP
&SYSTEM
  ibrav = 0, nat = 8, ntyp = 3
/
ATOMIC_SPECIES
Tl 204.38 Tl.upf
Cd 112.41 Cd.upf
Li 6.94 Li.upf
CELL_PARAMETERS angstrom
-4.1756 -2.2057 1.9631
0.0158 -4.4206 -4.9335
3.8243 -4.1038 3.5235
ATOMIC_POSITIONS angstrom
Tl -0.1757 -3.1548 2.7433
Tl -2.0799 -3.3132 -1.4852
Cd -0.1678 -5.3651 0.2765
Tl 2.6967 -4.1976 1.0196
Tl 3.0893 -6.8578 -1.1343
Tl 0.7508 -1.6666 -0.2757
Li -2.0878 -1.1029 0.9815
Tl 1.1434 -4.3268 -2.4297
! Relative energy among the computed polymorphs in eV per atom: 0.000
! Formation enthalpy at 0 K in meV/atom: 0
! E_tot in Ry/atom: -0.1564
! Density in g/cm3: 9.96
! Symmetry: Cmmm
! Size of the total moment in μB/f.u.: 0.000

=====

Q: formation enthalpy at 0 K of number 1 (Li6Tl3Cd2)?
A: -81 meV/atom

=====

Q: The lowest density belongs to which entry?
A: Li6Tl3Cd2

=====

What did the first record say?
! Li6Tl3Cd2 PBE relaxed; values from VASP
&SYSTEM
  ibrav = 0, nat = 11, ntyp = 3
/
ATOMIC_SPECIES
Li 6.94 Li.upf
Tl 204.38 Tl.upf
Cd 112.41 Cd.upf
CELL_PARAMETERS angstrom
4.1537 0.0000 0.0000
0.0000 4.1537 0.0000
-2.0769 -2.0769 13.9386
ATOMIC_POSITIONS angstrom
Li 0.0000 2.0769 3.3461
Li 2.0769 0.0000 10.5925
Tl 0.0000 0.0000 5.6640
Cd 2.0769 2.0769 1.4734
Cd 0.0000 0.0000 12.4652
Li 2.0769 2.0769 5.4803
Tl 0.0000 0.0000 0.0000
Li 0.0000 2.0769 10.5925
Li 0.0000 0.0000 8.4582
Li 2.0769 0.0000 3.3461
Tl 2.0769 2.0769 8.2746
! Formation enthalpy at 0 K in meV/atom: -81
! E_tot in Ry/atom: -0.1424
! Density in g/cm3: 6.07
! Symmetry: I4/mmm
! Size of the total moment in μB/f.u.: 0.000